A plane-wave DFT calculation with PBE was carried out for Sm6GaTe3P2 after structural relaxation.

## Properties
- E_tot: -68.05 eV for the cell shown
- Crystal system: monoclinic
- SG: No. 12

Cell lengths 4.217, 8.792, 9.714 Å; angles 104.97, 102.54, 90.00 degrees
Element x y z (fractional)
Sm: 0.338 0.896 0.676
Te: 0.833 0.169 0.666
Te: 0.500 0.500 0.000
P: 0.168 0.335 0.336
Te: 0.167 0.831 0.334
P: 0.832 0.665 0.664
Ga: 0.500 0.000 0.000
Sm: 0.992 0.759 0.984
Sm: 0.675 0.563 0.350
Sm: 0.325 0.437 0.650
Sm: 0.008 0.241 0.016
Sm: 0.662 0.104 0.324

***

A plane-wave DFT calculation with PBE was carried out for Sc2BiMoC after structural relaxation.

## Properties
- E_tot: -38.24 eV for the cell shown
- Crystal system: tetragonal
- Energy of formation: -1.6 eV per formula unit
- SG: No. 123

Cell lengths 4.640, 4.640, 4.156 Å; angles 90.00, 90.00, 90.00 degrees
Element x y z (fractional)
Sc: 0.000 0.500 0.000
Mo: 0.000 0.000 0.500
C: 0.000 0.000 0.000
Bi: 0.500 0.500 0.500
Sc: 0.500 0.000 0.000